(1)
A plane-wave DFT calculation with PBEsol was carried out for a relaxed Nd2Te4O11 crystal.

Output
The value obtained for the uncorrected formation energy is -1839 meV per atom. The crystal system is monoclinic. The total energy is -226.90 eV for the cell shown. For the volume, the calculation gives 508 Å³/cell. The value obtained for the density of states at the Fermi level is 0.000 states/eV per atom.

a b c (Å): 6.7833 6.7833 16.2167
angles (deg): 104.77 104.77 45.09
Last column: nearest neighbours and their distance in Å.
Fractional coordinates of all 34 atoms:
Nd1 0.1261 0.6374 0.9625  8 O 2.36-2.59
Nd2 0.3626 0.8739 0.5375  8 O 2.36-2.59
Nd3 0.6374 0.1261 0.4625  8 O 2.36-2.59
Nd4 0.8739 0.3626 0.0375  8 O 2.36-2.59
Te1 0.0900 0.6567 0.6301  3 O 1.89-1.92
Te2 0.1027 0.6504 0.2963  3 O 1.86-2.03
Te3 0.3433 0.9100 0.8699  3 O 1.89-1.92
Te4 0.3496 0.8973 0.2037  3 O 1.86-2.03
Te5 0.6504 0.1027 0.7963  3 O 1.86-2.03
Te6 0.6567 0.0900 0.1301  3 O 1.89-1.92
Te7 0.8973 0.3496 0.7037  3 O 1.86-2.03
Te8 0.9100 0.3433 0.3699  3 O 1.89-1.92
O1 0.0637 0.8870 0.3990  1 Te 1.92
O2 0.1130 0.9363 0.1010  1 Te 1.92
O3 0.1669 0.2485 0.9433  1 Te 1.89
O4 0.1808 0.3171 0.6311  1 Te 1.92
O5 0.2485 0.1669 0.4433  1 Te 1.89
O6 0.2901 0.4067 0.8267  1 Te 1.86
O7 0.3115 0.5478 0.5474  1 Te 1.89
O8 0.3171 0.1808 0.1311  1 Te 1.92
O9 0.3628 0.6372 0.2500  2 Te 2.03
O10 0.4067 0.2901 0.3267  1 Te 1.86
O11 0.4522 0.6885 0.9526  1 Te 1.89
O12 0.5478 0.3115 0.0474  1 Te 1.89
O13 0.5933 0.7099 0.6733  1 Te 1.86
O14 0.6372 0.3628 0.7500  2 Te 2.03
O15 0.6829 0.8192 0.8689  1 Te 1.92
O16 0.6885 0.4522 0.4526  1 Te 1.89
O17 0.7099 0.5933 0.1733  1 Te 1.86
O18 0.7515 0.8331 0.5567  1 Te 1.89
O19 0.8192 0.6829 0.3689  1 Te 1.92
O20 0.8331 0.7515 0.0567  1 Te 1.89
O21 0.8870 0.0637 0.8990  1 Te 1.92
O22 0.9363 0.1130 0.6010  1 Te 1.92

=====

(2)
A plane-wave DFT calculation with PBEsol was carried out for a relaxed Y2ZrMn crystal.

Output
The formation energy is 133.4 kJ/mol of formula units. The crystal system is tetragonal. The total energy is -31.11 eV for the cell shown. For the volume, the calculation gives 93 Å³/cell. The value obtained for the density of states at the Fermi level is 1.282 states/eV per atom.

a b c (Å): 4.5636 4.5636 4.4876
angles (deg): 90.00 90.00 90.00
Last column: nearest neighbours and their distance in Å.
Fractional coordinates of all 4 atoms:
Y1 0.0000 0.5000 0.0000  4 Zr 3.20, 4 Mn 3.20, 4 Y 3.23
Y2 0.5000 0.0000 0.0000  4 Zr 3.20, 4 Mn 3.20, 4 Y 3.23
Zr1 0.0000 0.0000 0.5000  8 Y 3.20, 4 Mn 3.23
Mn1 0.5000 0.5000 0.5000  8 Y 3.20, 4 Zr 3.23